# Cu2TeI2Br2

A relaxed Cu2TeI2Br2 crystal (PBE, Alexandria).

a = 14.7695 Å, b = 4.1488 Å, c = 8.8724 Å
α = 90.00°, β = 126.48°, γ = 90.00°
Closest atoms and distances in Å follow each position.
Space group C2/m (No. 12)
Asymmetric unit:
Cu1 0.1924 0.0000 0.3177  3 Br 2.49-2.56, 1 Te 2.55
Te1 0.0000 0.0000 0.0000  2 Cu 2.55
I1 0.0736 0.5000 0.8415  2 Te 3.05
Br1 0.1960 0.0000 0.6099  3 Cu 2.49-2.56

Results
Formation energy without anion corrections (kcal/mol of atoms): -3.873
ρ (g/cm³): 5.08
Spin magnetization (μB per atom): 0.00

---

# CuTe2IBr

A relaxed CuTe2IBr crystal (PBE, Alexandria).

a = 5.2434 Å, b = 5.2434 Å, c = 5.2722 Å
α = 90.00°, β = 90.00°, γ = 90.00°
Closest atoms and distances in Å follow each position.
Space group P4/mmm (No. 123)
Asymmetric unit:
Cu1 0.0000 0.0000 0.0000  4 Te 2.62, 2 I 2.64
Te1 0.0000 0.5000 0.0000  2 Cu 2.62
I1 0.0000 0.0000 0.5000  2 Cu 2.64
Br1 0.5000 0.5000 0.5000  4 I 3.71, 8 Te 3.72

Results
Formation energy without anion corrections (kcal/mol of atoms): 7.929
ρ (g/cm³): 6.02
Spin magnetization (μB per atom): 0.00

---

# Tl2CuIBr6

A relaxed Tl2CuIBr6 crystal (PBE, Alexandria).

a = 7.3095 Å, b = 7.9336 Å, c = 7.9943 Å
α = 88.78°, β = 64.53°, γ = 67.59°
Closest atoms and distances in Å follow each position.
Space group P-1 (No. 2)
Asymmetric unit:
Tl1 0.1191 0.1185 0.2061  5 Br 3.26-3.58
Cu1 0.5000 0.0000 0.5000  2 Br 2.32
I1 0.5000 0.5000 0.0000  4 Br 2.78-2.80
Br1 0.1185 0.1601 0.6158  1 Cu 2.32
Br2 0.3999 0.7804 0.7977  1 I 2.78, 1 Cu 2.92
Br3 0.4750 0.2542 0.7737  1 I 2.80, 1 Cu 2.91

Results
Formation energy without anion corrections (kcal/mol of atoms): -9.937
ρ (g/cm³): 4.70
Spin magnetization (μB per atom): 0.00

---

# TlCuIBr2

A relaxed TlCuIBr2 crystal (PBE, Alexandria).

a = 5.1807 Å, b = 5.1807 Å, c = 5.5014 Å
α = 90.00°, β = 90.00°, γ = 90.00°
Closest atoms and distances in Å follow each position.
Space group P4/mmm (No. 123)
Asymmetric unit:
Tl1 0.0000 0.0000 0.0000  4 I 3.66, 8 Br 3.78
Cu1 0.5000 0.5000 0.5000  4 Br 2.59, 2 I 2.75
I1 0.5000 0.5000 0.0000  2 Cu 2.75
Br1 0.0000 0.5000 0.5000  2 Cu 2.59

Results
Formation energy without anion corrections (kcal/mol of atoms): -9.132
ρ (g/cm³): 6.24
Spin magnetization (μB per atom): 0.00

---

# Tl2CuIBr2

A relaxed Tl2CuIBr2 crystal (PBE, Alexandria).

a = 14.4323 Å, b = 9.6309 Å, c = 6.9174 Å
α = 90.00°, β = 90.00°, γ = 90.00°
Closest atoms and distances in Å follow each position.
Space group Cmc2_1 (No. 36)
Asymmetric unit:
Tl1 0.1632 0.1553 0.0000  3 Br 3.22-3.41, 1 I 3.38
Cu1 0.0000 0.3389 0.4370  2 Br 2.49, 2 I 2.61-2.66
I1 0.0000 0.4016 0.0701  2 Cu 2.61-2.66
Br1 0.1374 0.1963 0.5266  1 Cu 2.49

Results
Formation energy without anion corrections (kcal/mol of atoms): -12.860
ρ (g/cm³): 5.24
Spin magnetization (μB per atom): 0.00

---

# TlCuIBr2

A relaxed TlCuIBr2 crystal (PBE, Alexandria).

a = 4.3771 Å, b = 17.1671 Å, c = 8.5399 Å
α = 90.00°, β = 90.00°, γ = 90.00°
Closest atoms and distances in Å follow each position.
Space group Cmcm (No. 63)
Asymmetric unit:
Tl1 0.0000 0.1997 0.2500  6 Br 3.28-3.48, 1 I 3.41
Cu1 0.0000 0.5000 0.0000  2 Br 2.36
I1 0.0000 0.0012 0.2500  4 Cu 3.06, 1 Tl 3.41
Br1 0.0000 0.3626 0.0077  1 Cu 2.36

Results
Formation energy without anion corrections (kcal/mol of atoms): -9.110
ρ (g/cm³): 5.74
Spin magnetization (μB per atom): 0.00

---

# Tl3Cu2I2Br4

A relaxed Tl3Cu2I2Br4 crystal (PBE, Alexandria).

a = 5.0270 Å, b = 5.0270 Å, c = 28.4782 Å
α = 90.00°, β = 90.00°, γ = 90.00°
Closest atoms and distances in Å follow each position.
Space group I4/mmm (No. 139)
Asymmetric unit:
Tl1 0.0000 0.0000 0.0000  8 Br 3.43
Tl2 0.0000 0.0000 0.1755  5 I 3.61, 4 Br 3.66
Cu1 0.0000 0.0000 0.3978  4 Br 2.58, 1 I 2.71
I1 0.0000 0.0000 0.3025  1 Cu 2.71
Br1 0.0000 0.5000 0.0822  2 Cu 2.58

Results
Formation energy without anion corrections (kcal/mol of atoms): -11.888
ρ (g/cm³): 6.06
Spin magnetization (μB per atom): 0.00

---

# Tl2CuI2Br

A relaxed Tl2CuI2Br crystal (PBE, Alexandria).

a = 16.3952 Å, b = 8.8766 Å, c = 7.0791 Å
α = 90.00°, β = 90.00°, γ = 90.00°
Closest atoms and distances in Å follow each position.
Space group Cmc2_1 (No. 36)
Asymmetric unit:
Tl1 0.1562 0.1883 0.0000  1 Br 3.21, 3 I 3.49-3.57
Cu1 0.0000 0.3486 0.5787  2 Br 2.49-2.50, 2 I 2.63
I1 0.1344 0.2023 0.4930  1 Cu 2.63
Br1 0.0000 0.3988 0.9263  2 Cu 2.49-2.50

Results
Formation energy without anion corrections (kcal/mol of atoms): -11.596
ρ (g/cm³): 5.20
Spin magnetization (μB per atom): 0.00

---

# Tl2CuIBr4

A relaxed Tl2CuIBr4 crystal (PBE, Alexandria).

a = 6.9813 Å, b = 5.0920 Å, c = 9.8265 Å
α = 90.00°, β = 94.38°, γ = 90.00°
Closest atoms and distances in Å follow each position.
Space group P2/m (No. 10)
Asymmetric unit:
Tl1 0.0000 0.0000 0.0000  6 Br 3.38-3.76
Tl2 0.0000 0.5000 0.5000  6 Br 3.32-3.38
Cu1 0.5000 0.0000 0.5000  2 Br 2.24
I1 0.5000 0.5000 0.0000  2 Br 2.73
Br1 0.1786 0.5000 0.8227  1 I 2.73
Br2 0.2326 0.0000 0.3580  1 Cu 2.24

Results
Formation energy without anion corrections (kcal/mol of atoms): -11.164
ρ (g/cm³): 4.38
Spin magnetization (μB per atom): 0.00

---

# Tl2CuIBr3

A relaxed Tl2CuIBr3 crystal (PBE, Alexandria).

a = 5.4698 Å, b = 5.4936 Å, c = 15.8581 Å
α = 90.00°, β = 90.00°, γ = 90.00°
Closest atoms and distances in Å follow each position.
Space group Immm (No. 71)
Asymmetric unit:
Tl1 0.0000 0.0000 0.1384  3 Br 3.24-3.51, 2 I 3.52
Cu1 0.0000 0.0000 0.5000  4 Br 2.49-2.75, 2 I 2.73
I1 0.0000 0.5000 0.0000  2 Cu 2.73
Br1 0.0000 0.0000 0.3428  1 Cu 2.49
Br2 0.0000 0.5000 0.5000  2 Cu 2.75

Results
Formation energy without anion corrections (kcal/mol of atoms): -11.798
ρ (g/cm³): 5.85
Spin magnetization (μB per atom): 0.00

---

# TlCu2IBr2

A relaxed TlCu2IBr2 crystal (PBE, Alexandria).

a = 7.9938 Å, b = 5.4209 Å, c = 8.8470 Å
α = 90.00°, β = 110.08°, γ = 90.00°
Closest atoms and distances in Å follow each position.
Space group P2_1/m (No. 11)
Asymmetric unit:
Tl1 0.1803 0.2500 0.3839  6 Br 3.26-3.47
Cu1 0.3908 0.5006 0.8498  2 Br 2.53-2.55, 3 Cu 2.63-2.72, 2 I 2.65-2.67
I1 0.3066 0.7500 0.0739  4 Cu 2.65-2.67
Br1 0.1075 0.2500 0.7241  2 Cu 2.55
Br2 0.3899 0.7500 0.6084  2 Cu 2.53

Results
Formation energy without anion corrections (kcal/mol of atoms): -9.858
ρ (g/cm³): 5.70
Spin magnetization (μB per atom): 0.00

---

# YCuIBr2

A relaxed YCuIBr2 crystal (PBE, Alexandria).

a = 5.0130 Å, b = 5.0130 Å, c = 5.5016 Å
α = 90.00°, β = 90.00°, γ = 90.00°
Closest atoms and distances in Å follow each position.
Space group P4/mmm (No. 123)
Asymmetric unit:
Y1 0.0000 0.0000 0.0000  4 I 3.54, 8 Br 3.72
Cu1 0.5000 0.5000 0.5000  4 Br 2.51, 2 I 2.75
I1 0.5000 0.5000 0.0000  2 Cu 2.75
Br1 0.0000 0.5000 0.5000  2 Cu 2.51

Results
Formation energy without anion corrections (kcal/mol of atoms): -8.710
ρ (g/cm³): 5.27
Spin magnetization (μB per atom): 0.15

---

# ZnCuIBr2

A relaxed ZnCuIBr2 crystal (PBE, Alexandria).

a = 4.8002 Å, b = 4.8002 Å, c = 9.2919 Å
α = 90.00°, β = 90.00°, γ = 90.00°
Closest atoms and distances in Å follow each position.
Space group P4/mmm (No. 123)
Asymmetric unit:
Zn1 0.0000 0.0000 0.0000  4 Br 2.40
Cu1 0.0000 0.0000 0.5000  4 I 3.39
I1 0.5000 0.5000 0.5000  4 Cu 3.39
Br1 0.0000 0.5000 0.0000  2 Zn 2.40

Results
Formation energy without anion corrections (kcal/mol of atoms): 2.983
ρ (g/cm³): 3.22
Spin magnetization (μB per atom): 0.00

---

# In2CuBr

A relaxed In2CuBr crystal (PBE, Alexandria).

a = 3.8669 Å, b = 5.8394 Å, c = 8.9955 Å
α = 90.00°, β = 90.00°, γ = 90.00°
Closest atoms and distances in Å follow each position.
Space group Immm (No. 71)
Asymmetric unit:
In1 0.0000 0.0000 0.2093  2 Cu 2.70
Cu1 0.0000 0.5000 0.5000  4 In 2.70
Br1 0.0000 0.5000 0.0000  8 In 3.25-3.47, 4 Cu 3.50

Results
Formation energy without anion corrections (kcal/mol of atoms): 1.466
ρ (g/cm³): 6.10
Spin magnetization (μB per atom): 0.00

---

# InCuBr2

A relaxed InCuBr2 crystal (PBE, Alexandria).

a = 12.7098 Å, b = 3.8335 Å, c = 5.7233 Å
α = 90.00°, β = 106.37°, γ = 90.00°
Closest atoms and distances in Å follow each position.
Space group Cm (No. 8)
Asymmetric unit:
In1 0.0000 0.0000 0.0000  1 Cu 2.64, 1 Br 2.95
Cu1 0.3564 0.5000 0.2551  4 Br 2.49-2.78, 1 In 2.64
Br1 0.2385 0.0000 0.0626  2 Cu 2.49
Br2 0.4651 0.0000 0.5879  2 Cu 2.78, 2 In 2.97

Results
Formation energy without anion corrections (kcal/mol of atoms): -8.456
ρ (g/cm³): 4.20
Spin magnetization (μB per atom): 0.00

---

# InCuBr2

A relaxed InCuBr2 crystal (PBE, Alexandria).

a = 3.7667 Å, b = 6.4710 Å, c = 9.0724 Å
α = 90.00°, β = 90.00°, γ = 90.00°
Closest atoms and distances in Å follow each position.
Space group Immm (No. 71)
Asymmetric unit:
In1 0.0000 0.0000 0.0000  8 Br 3.41-3.65, 4 Cu 3.74, 2 In 3.77
Cu1 0.0000 0.0000 0.5000  4 Br 2.53
Br1 0.0000 0.5000 0.1868  2 Cu 2.53

Results
Formation energy without anion corrections (kcal/mol of atoms): -7.333
ρ (g/cm³): 5.08
Spin magnetization (μB per atom): 0.00

---

# InCuBr2

A relaxed InCuBr2 crystal (PBE, Alexandria).

a = 3.5661 Å, b = 3.5661 Å, c = 7.7979 Å
α = 90.00°, β = 90.00°, γ = 90.00°
Closest atoms and distances in Å follow each position.
Space group P4/mmm (No. 123)
Asymmetric unit:
In1 0.0000 0.0000 0.0000  8 Br 3.38, 4 In 3.57
Cu1 0.0000 0.0000 0.5000  8 Br 3.02
Br1 0.5000 0.5000 0.2878  4 Cu 3.02, 1 Br 3.31, 4 In 3.38

Results
Formation energy without anion corrections (kcal/mol of atoms): -2.615
ρ (g/cm³): 5.66
Spin magnetization (μB per atom): 0.00

---

# In2CuBr

A relaxed In2CuBr crystal (PBE, Alexandria).

a = 6.7845 Å, b = 3.9073 Å, c = 7.8711 Å
α = 90.00°, β = 106.67°, γ = 90.00°
Closest atoms and distances in Å follow each position.
Space group C2/m (No. 12)
Asymmetric unit:
In1 0.2328 0.0000 0.1984  3 Cu 2.71
Cu1 0.0000 0.5000 0.0000  6 In 2.71
Br1 0.0000 0.0000 0.5000  6 In 3.20-3.21

Results
Formation energy without anion corrections (kcal/mol of atoms): -2.776
ρ (g/cm³): 6.20
Spin magnetization (μB per atom): 0.00

---

# InCuBr2

A relaxed InCuBr2 crystal (PBE, Alexandria).

a = 4.1438 Å, b = 4.1438 Å, c = 13.6617 Å
α = 90.00°, β = 90.00°, γ = 90.00°
Closest atoms and distances in Å follow each position.
Space group I-4m2 (No. 119)
Asymmetric unit:
In1 0.0000 0.0000 0.0000  4 Br 2.93
Cu1 0.0000 0.5000 0.2500  4 Br 2.93
Br1 0.0000 0.0000 0.5000  4 In 2.93
Br2 0.0000 0.5000 0.7500  4 Cu 2.93

Results
Formation energy without anion corrections (kcal/mol of atoms): -1.126
ρ (g/cm³): 4.79
Spin magnetization (μB per atom): 0.00

---

# In2CuBr

A relaxed In2CuBr crystal (PBE, Alexandria).

a = 7.4442 Å, b = 7.9249 Å, c = 3.3989 Å
α = 90.00°, β = 98.82°, γ = 90.00°
Closest atoms and distances in Å follow each position.
Space group C2/m (No. 12)
Asymmetric unit:
In1 0.2500 0.2500 0.0000  4 Br 3.05-3.35, 4 Cu 3.05-3.35, 2 In 3.40
Cu1 0.0000 0.0000 0.5000  8 In 3.05-3.35, 2 Cu 3.40
Br1 0.0000 0.5000 0.5000  8 In 3.05-3.35, 2 Br 3.40

Results
Formation energy without anion corrections (kcal/mol of atoms): 0.941
ρ (g/cm³): 6.25
Spin magnetization (μB per atom): 0.00